A geometry-optimized LiFeHRh2 structure. Source: the Alexandria database, functional PBE.

a = 3.9832 Å, b = 3.9832 Å, c = 3.4261 Å
α = 90.00°, β = 90.00°, γ = 90.00°
Space group P4/mmm (No. 123)
Asymmetric unit:
Li: 0.0000 0.0000 0.0000 (multiplicity 1)
Fe: 0.5000 0.5000 0.0000 (multiplicity 1)
H: 0.0000 0.0000 0.5000 (multiplicity 1)
Rh: 0.0000 0.5000 0.5000 (multiplicity 2)

Computed properties:
ΔE to the lowest computed polymorph in meV per atom: 0